# Mg2OsRu

A relaxed Mg2OsRu crystal (PBEsol, Alexandria).

The electronic total energy comes out at -6.415 eV per atom. The offset from the most stable computed form is 0 meV per atom. For the density of states at the Fermi level, the calculation gives 0.596 states/eV per atom. For the energy relative to the elements, the calculation gives 0.0411 eV/atom.

It has space group P4mm (No. 99), with a = 2.846 Å, b = 2.846 Å, c = 8.126 Å, α = 90.00°, β = 90.00° and γ = 90.00°. The distinct sites, in fractional coordinates, are Mg at (0.000, 0.000, 0.000), Mg at (0.500, 0.500, 0.328), Os at (0.000, 0.000, 0.568) and Ru at (0.500, 0.500, 0.763).



# Tc2NiRu

A relaxed Tc2NiRu crystal (PBEsol, Alexandria).

The electronic total energy comes out at -9.774 eV per atom. The offset from the most stable computed form is 0 meV per atom. For the density of states at the Fermi level, the calculation gives 0.796 states/eV per atom. For the energy relative to the elements, the calculation gives -0.0582 eV/atom.

It has space group Pmm2 (No. 25), with a = 2.666 Å, b = 4.204 Å, c = 4.604 Å, α = 90.00°, β = 90.00° and γ = 90.00°. The distinct sites, in fractional coordinates, are Tc at (0.000, 0.000, 0.000), Tc at (0.000, 0.500, 0.337), Ni at (0.500, 0.500, 0.845) and Ru at (0.500, 0.000, 0.517).